Record 1
Compound: Li2In2H
Source: the Alexandria database
Functional: PBE-GGA
Structure: optimized geometry

Cell lengths 6.313, 6.313, 4.808 Å; angles 90.00, 90.00, 90.00 degrees
Element x y z (fractional)
Li  0.151  0.349  0.000
Li  0.349  0.849  0.000
Li  0.651  0.151  0.000
Li  0.849  0.651  0.000
In  0.169  0.669  0.500
In  0.331  0.169  0.500
In  0.669  0.831  0.500
In  0.831  0.331  0.500
H  0.000  0.000  0.500
H  0.500  0.500  0.500

Summary:
Total energy: -2.455 eV per atom

---

Record 2
Compound: Li2InH2
Source: the Alexandria database
Functional: PBE-GGA
Structure: optimized geometry

Cell lengths 6.768, 6.768, 3.230 Å; angles 90.00, 90.00, 90.00 degrees
Element x y z (fractional)
Li  0.214  0.286  0.000
Li  0.286  0.786  0.000
Li  0.714  0.214  0.000
Li  0.786  0.714  0.000
In  0.000  0.000  0.500
In  0.500  0.500  0.500
H  0.187  0.687  0.500
H  0.313  0.187  0.500
H  0.687  0.813  0.500
H  0.813  0.313  0.500

Summary:
Distance to the lowest polymorph of the same formula: 162.6 meV per atom